# 1
# UTiI2 | the Alexandria database | PBE-GGA | optimized geometry
data_UTiI2
_symmetry_space_group_name_H-M 'R -3 m'
_symmetry_Int_Tables_number 166
_symmetry_space_group_name_Hall '-R 3 2"'
_cell_length_a 3.4876
_cell_length_b 3.4876
_cell_length_c 30.6596
_cell_angle_alpha 90.00
_cell_angle_beta 90.00
_cell_angle_gamma 120.00
loop_
_atom_site_label
_atom_site_fract_x
_atom_site_fract_y
_atom_site_fract_z
U1 0.0000 0.0000 0.0000
Ti1 0.0000 0.0000 0.5000
I1 0.0000 0.0000 0.1033
# Calculated total energy, eV per atom: -5.424


# 2
# Cd2AgAs | the Alexandria database | PBE-GGA | optimized geometry
data_Cd2AgAs
_symmetry_space_group_name_H-M 'R -3 m'
_symmetry_Int_Tables_number 166
_symmetry_space_group_name_Hall '-R 3 2"'
_cell_length_a 3.1093
_cell_length_b 3.1093
_cell_length_c 29.1141
_cell_angle_alpha 90.00
_cell_angle_beta 90.00
_cell_angle_gamma 120.00
loop_
_atom_site_label
_atom_site_fract_x
_atom_site_fract_y
_atom_site_fract_z
Cd1 0.0000 0.0000 0.2483
Ag1 0.0000 0.0000 0.5000
As1 0.0000 0.0000 0.0000
# Calculated total energy, eV per atom: -2.240